No. 1
# KTaRh (GGA-PBE, relaxed)
# M_tot: 0.16 μB per atom
# Calculated volume: 277 Å³ per cell
# Crystal system: cubic
# Total DFT energy (no corrections): -65.982 eV/cell
# Formation energy from the elements: 1.27 eV per atom
data_KTaRh
_cell_length_a 6.5195
_cell_length_b 6.5195
_cell_length_c 6.5195
_cell_angle_alpha 90.00
_cell_angle_beta 90.00
_cell_angle_gamma 90.00
_symmetry_space_group_name_H-M 'F -4 3 m'
_symmetry_Int_Tables_number 216
_symmetry_space_group_name_Hall 'F -4 2 3'
loop_
_atom_site_label
_atom_site_type_symbol
_atom_site_fract_x
_atom_site_fract_y
_atom_site_fract_z
K1 K 0.0000 0.0000 0.0000
Ta1 Ta 0.0000 0.0000 0.5000
Rh1 Rh 0.2500 0.2500 0.2500

No. 2
# KTa3Rh (GGA-PBE, relaxed)
# M_tot: 0.00 μB per atom
# Calculated volume: 122 Å³ per cell
# Crystal system: cubic
# Total DFT energy (no corrections): -37.177 eV/cell
# Formation energy from the elements: 1.37 eV per atom
data_KTa3Rh
_cell_length_a 4.9615
_cell_length_b 4.9615
_cell_length_c 4.9615
_cell_angle_alpha 90.00
_cell_angle_beta 90.00
_cell_angle_gamma 90.00
_symmetry_space_group_name_H-M 'P m -3 m'
_symmetry_Int_Tables_number 221
_symmetry_space_group_name_Hall '-P 4 2 3'
loop_
_atom_site_label
_atom_site_type_symbol
_atom_site_fract_x
_atom_site_fract_y
_atom_site_fract_z
K1 K 0.0000 0.0000 0.0000
Ta1 Ta 0.0000 0.5000 0.5000
Rh1 Rh 0.5000 0.5000 0.5000

No. 3
# KTaRh3 (GGA-PBE, relaxed)
# M_tot: 0.00 μB per atom
# Calculated volume: 114 Å³ per cell
# Crystal system: cubic
# Total DFT energy (no corrections): -31.946 eV/cell
# Formation energy from the elements: 0.61 eV per atom
data_KTaRh3
_cell_length_a 4.8458
_cell_length_b 4.8458
_cell_length_c 4.8458
_cell_angle_alpha 90.00
_cell_angle_beta 90.00
_cell_angle_gamma 90.00
_symmetry_space_group_name_H-M 'P m -3 m'
_symmetry_Int_Tables_number 221
_symmetry_space_group_name_Hall '-P 4 2 3'
loop_
_atom_site_label
_atom_site_type_symbol
_atom_site_fract_x
_atom_site_fract_y
_atom_site_fract_z
K1 K 0.0000 0.0000 0.0000
Ta1 Ta 0.5000 0.5000 0.5000
Rh1 Rh 0.0000 0.5000 0.5000

No. 4
# KTa3Rh (GGA-PBE, relaxed)
# M_tot: 0.00 μB per atom
# Calculated volume: 94 Å³ per cell
# Crystal system: cubic
# Total DFT energy (no corrections): -29.400 eV/cell
# Formation energy from the elements: 2.92 eV per atom
data_KTa3Rh
_cell_length_a 4.5403
_cell_length_b 4.5403
_cell_length_c 4.5403
_cell_angle_alpha 90.00
_cell_angle_beta 90.00
_cell_angle_gamma 90.00
_symmetry_space_group_name_H-M 'P m -3 m'
_symmetry_Int_Tables_number 221
_symmetry_space_group_name_Hall '-P 4 2 3'
loop_
_atom_site_label
_atom_site_type_symbol
_atom_site_fract_x
_atom_site_fract_y
_atom_site_fract_z
K1 K 0.0000 0.0000 0.0000
Ta1 Ta 0.0000 0.0000 0.5000
Rh1 Rh 0.5000 0.5000 0.5000

No. 5
# KTaRh (GGA-PBE, relaxed)
# M_tot: 0.00 μB per atom
# Calculated volume: 67 Å³ per cell
# Crystal system: trigonal
# Total DFT energy (no corrections): -18.782 eV/cell
# Formation energy from the elements: 0.51 eV per atom
data_KTaRh
_cell_length_a 3.1214
_cell_length_b 3.1214
_cell_length_c 7.9475
_cell_angle_alpha 90.00
_cell_angle_beta 90.00
_cell_angle_gamma 120.00
_symmetry_space_group_name_H-M 'P 3 m 1'
_symmetry_Int_Tables_number 156
loop_
_symmetry_equiv_pos_as_xyz
'x,y,z'
'-y,x-y,z'
'-x+y,-x,z'
'-y,-x,z'
'-x+y,y,z'
'x,x-y,z'
loop_
_atom_site_label
_atom_site_type_symbol
_atom_site_fract_x
_atom_site_fract_y
_atom_site_fract_z
K1 K 0.0000 0.0000 0.0000
Ta1 Ta 0.3333 0.6667 0.5862
Rh1 Rh 0.6667 0.3333 0.3571

No. 6
# KTaRh (GGA-PBE, relaxed)
# M_tot: 0.00 μB per atom
# Calculated volume: 259 Å³ per cell
# Crystal system: cubic
# Total DFT energy (no corrections): -51.980 eV/cell
# Formation energy from the elements: 2.44 eV per atom
data_KTaRh
_cell_length_a 6.3747
_cell_length_b 6.3747
_cell_length_c 6.3747
_cell_angle_alpha 90.00
_cell_angle_beta 90.00
_cell_angle_gamma 90.00
_symmetry_space_group_name_H-M 'F -4 3 m'
_symmetry_Int_Tables_number 216
_symmetry_space_group_name_Hall 'F -4 2 3'
loop_
_atom_site_label
_atom_site_type_symbol
_atom_site_fract_x
_atom_site_fract_y
_atom_site_fract_z
K1 K 0.0000 0.0000 0.0000
Ta1 Ta 0.2500 0.2500 0.2500
Rh1 Rh 0.2500 0.2500 0.7500

No. 7
# KTaRh (GGA-PBE, relaxed)
# M_tot: 0.00 μB per atom
# Calculated volume: 152 Å³ per cell
# Crystal system: tetragonal
# Total DFT energy (no corrections): -38.130 eV/cell
# Formation energy from the elements: 0.41 eV per atom
data_KTaRh
_cell_length_a 3.2475
_cell_length_b 3.2475
_cell_length_c 14.3660
_cell_angle_alpha 90.00
_cell_angle_beta 90.00
_cell_angle_gamma 90.00
_symmetry_space_group_name_H-M 'I 4 m m'
_symmetry_Int_Tables_number 107
_symmetry_space_group_name_Hall 'I 4 -2'
loop_
_atom_site_label
_atom_site_type_symbol
_atom_site_fract_x
_atom_site_fract_y
_atom_site_fract_z
K1 K 0.0000 0.0000 0.0000
Ta1 Ta 0.0000 0.0000 0.2683
Rh1 Rh 0.0000 0.0000 0.6882

No. 8
# KTaRh4 (GGA-PBE, relaxed)
# M_tot: 0.00 μB per atom
# Calculated volume: 407 Å³ per cell
# Crystal system: cubic
# Total DFT energy (no corrections): -161.884 eV/cell
# Formation energy from the elements: 0.31 eV per atom
data_KTaRh4
_cell_length_a 7.4128
_cell_length_b 7.4128
_cell_length_c 7.4128
_cell_angle_alpha 90.00
_cell_angle_beta 90.00
_cell_angle_gamma 90.00
_symmetry_space_group_name_H-M 'F -4 3 m'
_symmetry_Int_Tables_number 216
_symmetry_space_group_name_Hall 'F -4 2 3'
loop_
_atom_site_label
_atom_site_type_symbol
_atom_site_fract_x
_atom_site_fract_y
_atom_site_fract_z
K1 K 0.0000 0.0000 0.0000
Ta1 Ta 0.2500 0.2500 0.2500
Rh1 Rh 0.1245 0.1245 0.6245

No. 9
# KTa2TeRh (GGA-PBE, relaxed)
# M_tot: 0.00 μB per atom
# Calculated volume: 110 Å³ per cell
# Crystal system: tetragonal
# Formation energy without anion corrections: 254.2 kJ per mole of atoms
# Total DFT energy (no corrections): -22.125 eV/cell
data_KTa2TeRh
_cell_length_a 4.8868
_cell_length_b 4.8868
_cell_length_c 4.6111
_cell_angle_alpha 90.00
_cell_angle_beta 90.00
_cell_angle_gamma 90.00
_symmetry_space_group_name_H-M 'P 4/m m m'
_symmetry_Int_Tables_number 123
_symmetry_space_group_name_Hall '-P 4 2'
loop_
_atom_site_label
_atom_site_type_symbol
_atom_site_fract_x
_atom_site_fract_y
_atom_site_fract_z
K1 K 0.0000 0.0000 0.0000
Ta1 Ta 0.0000 0.5000 0.0000
Te1 Te 0.5000 0.5000 0.5000
Rh1 Rh 0.0000 0.0000 0.5000

No. 10
# KTb2Rh (GGA-PBE, relaxed)
# M_tot: 0.00 μB per atom
# Calculated volume: 472 Å³ per cell
# Crystal system: trigonal
# Total DFT energy (no corrections): -56.531 eV/cell
# Formation energy from the elements: -0.28 eV per atom
data_KTb2Rh
_cell_length_a 4.0607
_cell_length_b 4.0607
_cell_length_c 33.0279
_cell_angle_alpha 90.00
_cell_angle_beta 90.00
_cell_angle_gamma 120.00
_symmetry_space_group_name_H-M 'R -3 m'
_symmetry_Int_Tables_number 166
_symmetry_space_group_name_Hall '-R 3 2"'
loop_
_atom_site_label
_atom_site_type_symbol
_atom_site_fract_x
_atom_site_fract_y
_atom_site_fract_z
K1 K 0.0000 0.0000 0.0000
Tb1 Tb 0.0000 0.0000 0.1230
Rh1 Rh 0.0000 0.0000 0.5000

No. 11
# K2TcRh (GGA-PBE, relaxed)
# M_tot: 0.34 μB per atom
# Calculated volume: 171 Å³ per cell
# Crystal system: tetragonal
# Total DFT energy (no corrections): -30.428 eV/cell
# Formation energy from the elements: 1.17 eV per atom
data_K2TcRh
_cell_length_a 3.8908
_cell_length_b 3.8908
_cell_length_c 11.2906
_cell_angle_alpha 90.00
_cell_angle_beta 90.00
_cell_angle_gamma 90.00
_symmetry_space_group_name_H-M 'I 4/m m m'
_symmetry_Int_Tables_number 139
_symmetry_space_group_name_Hall '-I 4 2'
loop_
_atom_site_label
_atom_site_type_symbol
_atom_site_fract_x
_atom_site_fract_y
_atom_site_fract_z
K1 K 0.0000 0.5000 0.2500
Tc1 Tc 0.0000 0.0000 0.0000
Rh1 Rh 0.0000 0.0000 0.5000

No. 12
# K2TcRh (GGA-PBE, relaxed)
# M_tot: 0.00 μB per atom
# Calculated volume: 84 Å³ per cell
# Crystal system: monoclinic
# Total DFT energy (no corrections): -15.338 eV/cell
# Formation energy from the elements: 1.14 eV per atom
data_K2TcRh
_cell_length_a 2.8305
_cell_length_b 5.6474
_cell_length_c 5.2765
_cell_angle_alpha 90.00
_cell_angle_beta 96.32
_cell_angle_gamma 90.00
_symmetry_space_group_name_H-M 'P 1 2/m 1'
_symmetry_Int_Tables_number 10
loop_
_symmetry_equiv_pos_as_xyz
'x,y,z'
'-x,-y,-z'
'-x,y,-z'
'x,-y,z'
loop_
_atom_site_label
_atom_site_type_symbol
_atom_site_fract_x
_atom_site_fract_y
_atom_site_fract_z
K1 K 0.1092 0.0000 0.2560
Tc1 Tc 0.5000 0.5000 0.0000
Rh1 Rh 0.5000 0.5000 0.5000

No. 13
# KTcRh (GGA-PBE, relaxed)
# M_tot: 0.00 μB per atom
# Calculated volume: 257 Å³ per cell
# Crystal system: cubic
# Total DFT energy (no corrections): -56.849 eV/cell
# Formation energy from the elements: 1.53 eV per atom
data_KTcRh
_cell_length_a 6.3574
_cell_length_b 6.3574
_cell_length_c 6.3574
_cell_angle_alpha 90.00
_cell_angle_beta 90.00
_cell_angle_gamma 90.00
_symmetry_space_group_name_H-M 'F -4 3 m'
_symmetry_Int_Tables_number 216
_symmetry_space_group_name_Hall 'F -4 2 3'
loop_
_atom_site_label
_atom_site_type_symbol
_atom_site_fract_x
_atom_site_fract_y
_atom_site_fract_z
K1 K 0.0000 0.0000 0.0000
Tc1 Tc 0.0000 0.0000 0.5000
Rh1 Rh 0.2500 0.2500 0.2500

No. 14
# K2TcRh (GGA-PBE, relaxed)
# M_tot: 1.03 μB per atom
# Calculated volume: 384 Å³ per cell
# Crystal system: cubic
# Total DFT energy (no corrections): -58.998 eV/cell
# Formation energy from the elements: 1.29 eV per atom
data_K2TcRh
_cell_length_a 7.2678
_cell_length_b 7.2678
_cell_length_c 7.2678
_cell_angle_alpha 90.00
_cell_angle_beta 90.00
_cell_angle_gamma 90.00
_symmetry_space_group_name_H-M 'F -4 3 m'
_symmetry_Int_Tables_number 216
_symmetry_space_group_name_Hall 'F -4 2 3'
loop_
_atom_site_label
_atom_site_type_symbol
_atom_site_fract_x
_atom_site_fract_y
_atom_site_fract_z
K1 K 0.0000 0.0000 0.0000
K2 K 0.2500 0.2500 0.2500
Tc1 Tc 0.2500 0.2500 0.7500
Rh1 Rh 0.0000 0.0000 0.5000

No. 15
# K2TcRh (GGA-PBE, relaxed)
# M_tot: 0.00 μB per atom
# Calculated volume: 84 Å³ per cell
# Crystal system: orthorhombic
# Total DFT energy (no corrections): -15.327 eV/cell
# Formation energy from the elements: 1.15 eV per atom
data_K2TcRh
_cell_length_a 2.8053
_cell_length_b 5.3239
_cell_length_c 5.6261
_cell_angle_alpha 90.00
_cell_angle_beta 90.00
_cell_angle_gamma 90.00
_symmetry_space_group_name_H-M 'P m m m'
_symmetry_Int_Tables_number 47
loop_
_symmetry_equiv_pos_as_xyz
'x,y,z'
'-x,-y,-z'
'-x,-y,z'
'x,y,-z'
'x,-y,-z'
'-x,y,z'
'-x,y,-z'
'x,-y,z'
loop_
_atom_site_label
_atom_site_type_symbol
_atom_site_fract_x
_atom_site_fract_y
_atom_site_fract_z
K1 K 0.0000 0.2486 0.0000
Tc1 Tc 0.5000 0.5000 0.5000
Rh1 Rh 0.5000 0.0000 0.5000